A relaxed BaCaSc crystal. Source: Alexandria via LeMat-Bulk, functional GGA-PBE.

It has space group F-43m (No. 216), with a = 8.254 Å, b = 8.254 Å, c = 8.254 Å, α = 90.00°, β = 90.00° and γ = 90.00°. The asymmetric unit holds Ba at (0.000, 0.000, 0.000), Ca at (0.250, 0.250, 0.250) and Sc at (0.250, 0.250, 0.750).

Its formation energy is 0.916 eV per atom. For the total moment, the calculation gives 0.44 μB/atom. The excess energy over the best structure of this formula in the dataset comes out at 638 meV per atom.